No. 1
First-principles (GGA-PBE) data for crystalline DyHo3Bi2 at its relaxed geometry, as listed in Alexandria.

Structure (extended XYZ):
```
6
Lattice="4.540 0.000 0.000 0.000 4.540 0.000 0.000 0.000 8.569" Properties=species:S:1:pos:R:3 pbc="T T T"
Dy 0.000 0.000 0.000
Ho 0.000 2.270 2.952
Ho 2.270 0.000 5.617
Ho 2.270 2.270 0.000
Bi 0.000 2.270 6.122
Bi 2.270 0.000 2.447
```

Summary:
raw total energy = -4.9249 eV per atom
size of the total moment = 0.00 μB/cell
excess energy over the best structure of this formula in the dataset = 0 meV/atom
ρ = 10.1 g/cm³

---

No. 2
First-principles (GGA-PBE) data for crystalline Dy5Ho3Bi8 at its relaxed geometry, as listed in Alexandria.

Structure (extended XYZ):
```
16
Lattice="4.468 2.579 7.295 -4.468 2.579 7.295 0.000 -5.159 7.295" Properties=species:S:1:pos:R:3 pbc="T T T"
Dy 0.000 0.000 0.000
Dy -2.234 -1.290 7.295
Dy -2.234 1.290 14.591
Dy 0.000 2.579 7.295
Dy 0.000 0.000 10.943
Ho -4.468 0.000 10.943
Ho -2.234 1.290 3.648
Ho 2.234 1.290 3.648
Bi -2.237 -1.292 12.761
Bi 0.000 0.000 5.464
Bi 0.000 -2.583 9.124
Bi -2.237 1.292 9.124
Bi 2.237 -1.292 12.761
Bi 0.000 2.583 12.761
Bi 0.000 0.000 16.422
Bi 2.237 1.292 9.124
```

Summary:
raw total energy = -5.0865 eV per atom
size of the total moment = 0.00 μB/cell
ρ = 9.8 g/cm³

---

No. 3
First-principles (GGA-PBE) data for crystalline DyHoBi at its relaxed geometry, as listed in Alexandria.

Structure (extended XYZ):
```
3
Lattice="-2.018 2.018 5.381 2.018 -2.018 5.381 2.018 2.018 -5.381" Properties=species:S:1:pos:R:3 pbc="T T T"
Dy 0.000 0.000 0.000
Ho 0.000 0.000 3.391
Bi 0.000 0.000 7.087
```

Summary:
raw total energy = -4.8089 eV per atom
size of the total moment = 1.01 μB/cell
ρ = 10.2 g/cm³

---

No. 4
First-principles (GGA-PBE) data for crystalline DyHo3Bi2 at its relaxed geometry, as listed in Alexandria.

Structure (extended XYZ):
```
12
Lattice="9.247 -2.150 0.000 9.247 2.150 0.000 -4.010 0.000 9.132" Properties=species:S:1:pos:R:3 pbc="T T T"
Dy 1.600 0.000 0.992
Dy 12.883 0.000 8.141
Ho -1.650 0.000 6.115
Ho 5.331 0.000 0.995
Ho 4.570 0.000 4.762
Ho 9.914 0.000 4.370
Ho 9.152 0.000 8.137
Ho 16.133 0.000 3.017
Bi 1.782 0.000 6.547
Bi 8.465 0.000 1.442
Bi 6.019 0.000 7.690
Bi 12.701 0.000 2.585
```

Summary:
raw total energy = -4.8162 eV per atom
size of the total moment = 0.00 μB/cell
excess energy over the best structure of this formula in the dataset = 109 meV/atom
ρ = 9.8 g/cm³

---

No. 5
First-principles (GGA-PBE) data for crystalline DyHo3Bi4 at its relaxed geometry, as listed in Alexandria.

Structure (extended XYZ):
```
8
Lattice="4.461 -6.308 0.000 4.461 6.308 0.000 0.000 0.000 4.464" Properties=species:S:1:pos:R:3 pbc="T T T"
Dy 0.000 0.000 0.000
Ho 2.230 3.154 2.232
Ho 2.230 -3.154 2.232
Ho 4.461 0.000 0.000
Bi 4.461 3.150 0.000
Bi 2.237 0.000 2.232
Bi 6.684 0.000 2.232
Bi 4.461 -3.150 0.000
```

Summary:
raw total energy = -5.0740 eV per atom
size of the total moment = 0.00 μB/cell
excess energy over the best structure of this formula in the dataset = 6 meV/atom
ρ = 9.9 g/cm³

---

No. 6
First-principles (GGA-PBE) data for crystalline Dy4HoBi5 at its relaxed geometry, as listed in Alexandria.

Structure (extended XYZ):
```
10
Lattice="-2.235 2.235 15.798 2.235 -2.235 15.798 2.235 2.235 -15.798" Properties=species:S:1:pos:R:3 pbc="T T T"
Dy 0.000 0.000 3.158
Dy 0.000 0.000 9.482
Dy 0.000 0.000 22.114
Dy 0.000 0.000 28.438
Ho 0.000 0.000 15.798
Bi 0.000 0.000 0.000
Bi 0.000 0.000 6.319
Bi 0.000 0.000 12.646
Bi 0.000 0.000 18.951
Bi 0.000 0.000 25.277
```

Summary:
raw total energy = -5.0948 eV per atom
size of the total moment = 0.00 μB/cell
ρ = 9.8 g/cm³

---

| no. | formation enthalpy at 0 K (kJ/mol of atoms) |
| --- | --- |
| 1 | -56 |
| 2 | -82 |
| 3 | -44 |
| 4 | -45 |
| 5 | -81 |
| 6 | -83 |